w:
DFT (PBE) results for LiNdMg4 after structural relaxation.

POSCAR file:
```
LiNdMg4
1.0
-1.593 -2.353 3.460
0.840 -6.299 -3.896
9.041 0.297 1.468
Nd Li Mg
2 2 8
Cartesian
6.170 -6.576 1.266
2.117 -1.778 -0.234
4.444 -5.131 -1.443
3.843 -3.224 2.474
2.995 -7.490 -0.818
-0.377 -4.326 -0.218
6.416 -3.498 3.472
5.631 -3.405 0.277
2.656 -4.949 0.754
5.293 -0.864 1.849
1.871 -4.856 -2.441
-0.797 -1.176 1.730
```

Output
As for the magnetization: 0.0000 μB per atom.

x:
DFT (PBE) results for LiNdMg4 after structural relaxation.

POSCAR file:
```
LiNdMg4
1.0
-0.701 -5.080 3.179
3.111 -4.949 -1.495
4.449 -1.961 3.573
Mg Nd Li
4 1 1
Cartesian
4.638 -4.953 1.695
2.061 -6.513 1.498
2.730 -5.018 4.035
4.287 -7.495 3.287
0.000 0.000 0.000
1.715 -2.997 1.314
```

Output
As for the magnetization: 0.0000 μB per atom.

y:
DFT (PBE) results for LiNdMg4 after structural relaxation.

POSCAR file:
```
LiNdMg4
1.0
3.460 0.000 0.000
0.000 3.460 0.000
0.000 0.000 12.074
Mg Li Nd
4 1 1
Cartesian
1.729 1.729 9.651
0.000 0.000 4.354
1.730 1.730 2.424
3.459 3.459 7.721
1.730 1.730 6.037
0.000 0.000 0.000
```

Output
As for the magnetization: 0.0001 μB per atom.

Result of the stability comparison: y is the most stable of them.

w:
DFT (PBE) results for LiNd2Mg3 after structural relaxation.

POSCAR file:
```
LiNd2Mg3
1.0
3.763 0.000 0.000
0.000 3.763 0.000
0.000 0.000 11.446
Nd Mg Li
2 3 1
Cartesian
1.882 1.882 1.963
1.882 1.882 9.483
0.000 0.000 7.347
0.000 0.000 0.000
0.000 0.000 4.098
1.882 1.882 5.723
```

Output
As for the magnetization: 0.0000 μB per atom.

x:
DFT (PBE) results for LiNd2Mg3 after structural relaxation.

POSCAR file:
```
LiNd2Mg3
1.0
-3.097 2.650 4.617
-3.048 -3.024 -4.416
0.674 -8.276 5.201
Mg Nd Li
6 4 2
Cartesian
-1.053 -5.823 4.714
-4.417 -2.827 0.689
-4.089 -6.007 4.813
-1.382 -2.642 0.589
-2.583 -4.514 6.995
-2.887 -4.136 -1.592
-2.438 -8.815 3.424
-2.792 -2.786 3.834
-3.032 0.166 1.979
-2.679 -5.864 1.569
0.337 -4.138 2.601
0.000 0.000 0.000
```

Output
As for the magnetization: 0.0000 μB per atom.

Result of the stability comparison: w is the most stable of them.

w:
DFT (PBE) results for LiMg3Ni after structural relaxation.

POSCAR file:
```
LiMg3Ni
1.0
5.812 0.000 0.000
0.000 7.572 -5.012
0.000 -1.615 9.617
Mg Ni Li
12 4 4
Cartesian
5.811 5.585 0.610
1.460 7.133 -3.600
2.907 1.799 3.116
4.352 7.133 -3.600
0.001 0.372 3.995
4.366 2.610 5.699
2.905 4.158 1.489
4.352 -1.176 8.205
1.446 2.610 5.699
4.366 3.347 -1.094
1.446 3.347 -1.094
1.460 -1.176 8.205
2.906 4.298 4.139
0.000 5.445 -2.040
2.906 1.659 0.466
5.812 0.512 6.645
2.907 0.025 5.950
2.905 5.932 -1.345
0.001 2.146 1.161
5.811 3.811 3.444
```

Output
As for the magnetization: 0.0000 μB per atom.

x:
DFT (PBE) results for LiMg3Ni after structural relaxation.

POSCAR file:
```
LiMg3Ni
1.0
-4.044 0.988 0.791
-1.670 -7.324 0.611
1.175 0.211 5.745
Mg Ni Li
6 2 2
Cartesian
-0.866 -0.099 1.372
-3.673 -6.026 5.775
-1.524 -2.985 1.613
-3.990 -4.699 2.496
-0.549 -1.426 4.651
-3.015 -3.140 5.534
-3.436 -1.087 0.817
-1.103 -5.037 6.330
-2.929 -0.996 3.296
-1.610 -5.128 3.851
```

Output
As for the magnetization: 0.0000 μB per atom.

y:
DFT (PBE) results for LiMg3Ni after structural relaxation.

POSCAR file:
```
LiMg3Ni
1.0
-1.424 1.752 4.293
-4.605 -1.062 -1.095
0.544 -4.397 1.975
Mg Li Ni
3 1 1
Cartesian
-0.712 0.876 2.147
-2.302 -0.531 -0.547
0.272 -2.199 0.987
-2.743 -1.853 2.587
0.000 0.000 0.000
```

Output
As for the magnetization: 0.0000 μB per atom.

Result of the stability comparison: w is the most stable of them.

w:
DFT (PBE) results for Li2MgNi2 after structural relaxation.

POSCAR file:
```
Li2MgNi2
1.0
6.924 0.000 0.000
0.000 6.924 0.000
0.000 0.000 2.732
Li Ni Mg
4 4 2
Cartesian
0.822 2.640 0.000
6.102 4.284 0.000
2.640 6.102 0.000
4.284 0.822 0.000
5.673 2.211 1.366
1.251 4.713 1.366
2.211 1.251 1.366
4.713 5.673 1.366
3.462 3.462 0.000
0.000 0.000 0.000
```

Output
As for the magnetization: 0.0000 μB per atom.

x:
DFT (PBE) results for Li2MgNi2 after structural relaxation.

POSCAR file:
```
Li2MgNi2
1.0
3.480 0.000 0.000
0.000 3.480 0.000
1.740 1.740 5.951
Ni Li Mg
2 2 1
Cartesian
3.480 3.480 4.790
1.740 1.740 1.161
1.740 3.480 2.975
3.480 1.740 2.975
0.000 0.000 0.000
```

Output
As for the magnetization: 0.0000 μB per atom.

Result of the stability comparison: w is the most stable of them.

w:
DFT (PBE) results for LiMg14Ni after structural relaxation.

POSCAR file:
```
LiMg14Ni
1.0
6.160 0.151 0.000
-1.478 5.982 0.000
0.000 0.000 9.306
Mg Li Ni
14 1 1
Cartesian
5.527 0.635 4.653
-0.314 5.094 2.526
4.494 3.511 4.653
1.903 0.629 0.000
2.737 5.610 7.264
3.126 2.468 2.078
4.577 4.132 0.000
1.458 3.742 4.653
2.481 0.873 4.653
-0.314 5.094 6.781
3.126 2.468 7.229
-0.007 2.015 2.043
-0.007 2.015 7.264
2.737 5.610 2.043
1.389 3.794 0.000
4.548 1.382 0.000
```

Output
As for the magnetization: 0.0000 μB per atom.

x:
DFT (PBE) results for LiMg14Ni after structural relaxation.

POSCAR file:
```
LiMg14Ni
1.0
-1.791 1.891 5.676
-3.672 -3.800 -3.329
4.544 -7.975 4.091
Ni Mg Li
1 14 1
Cartesian
0.000 0.000 0.000
-2.727 -0.940 1.197
-0.464 -4.953 3.202
-1.262 -2.034 3.715
-2.289 -4.781 -0.906
0.970 -5.952 5.725
-0.919 0.931 2.836
0.094 -8.962 1.239
-3.609 -0.009 3.992
0.421 -5.887 0.397
-0.833 -7.984 4.174
-3.215 -3.802 2.029
1.993 -6.997 2.960
-0.390 -2.815 0.815
-2.278 -6.831 1.557
2.272 -3.987 2.045
```

Output
As for the magnetization: 0.0000 μB per atom.

Result of the stability comparison: x is the most stable of them.

w:
DFT (PBE) results for Li2Mg6Ni after structural relaxation.

POSCAR file:
```
Li2Mg6Ni
1.0
4.737 0.000 0.000
-2.369 4.054 -0.622
0.000 1.339 8.729
Mg Li Ni
6 2 1
Cartesian
0.000 0.267 1.737
-0.001 3.970 7.848
2.368 1.423 0.258
0.000 3.491 4.731
2.368 5.126 6.370
2.368 1.902 3.376
2.368 2.310 6.051
0.000 3.083 2.055
0.000 0.670 4.364
```

Output
As for the magnetization: 0.0000 μB per atom.

x:
DFT (PBE) results for Li2Mg6Ni after structural relaxation.

POSCAR file:
```
Li2Mg6Ni
1.0
3.186 0.000 0.000
0.000 8.016 0.000
0.000 -4.008 6.944
Mg Ni Li
6 1 2
Cartesian
1.593 5.018 0.000
1.593 1.501 2.600
1.593 -2.507 4.345
0.000 2.092 0.000
0.000 -1.047 1.818
0.000 2.961 5.126
1.593 8.011 0.000
0.000 4.009 2.313
0.000 0.001 4.631
```

Output
As for the magnetization: 0.0000 μB per atom.

Result of the stability comparison: w is the most stable of them.

w:
DFT (PBE) results for Li2Mg2Ni after structural relaxation.

POSCAR file:
```
Li2Mg2Ni
1.0
6.207 0.000 0.000
0.000 6.207 0.000
0.000 0.000 4.300
Li Mg Ni
4 4 2
Cartesian
2.262 5.366 0.000
3.944 0.841 0.000
0.841 2.262 0.000
5.366 3.944 0.000
4.259 5.051 2.150
1.948 1.155 2.150
5.051 1.948 2.150
1.155 4.259 2.150
3.103 3.103 0.000
0.000 0.000 0.000
```

Output
As for the magnetization: 0.0000 μB per atom.

x:
DFT (PBE) results for Li2Mg2Ni after structural relaxation.

POSCAR file:
```
Li2Mg2Ni
1.0
-1.689 1.947 -1.659
0.677 -1.577 -2.540
-7.024 -5.574 3.438
Li Mg Ni
2 2 1
Cartesian
-5.081 -3.090 -1.286
-2.954 -2.114 0.525
-6.295 -4.505 1.119
-1.741 -0.699 -1.880
0.000 0.000 0.000
```

Output
As for the magnetization: 0.0007 μB per atom.

y:
DFT (PBE) results for Li2Mg2Ni after structural relaxation.

POSCAR file:
```
Li2Mg2Ni
1.0
-0.479 -4.879 -0.115
0.933 -0.109 4.813
-3.648 2.814 -1.678
Mg Li Ni
2 2 1
Cartesian
-1.950 -2.279 0.278
-1.244 0.106 2.742
0.297 -3.262 3.072
0.157 -1.726 1.626
0.000 0.000 0.000
```

Output
As for the magnetization: 0.0000 μB per atom.

z:
DFT (PBE) results for Li2Mg2Ni after structural relaxation.

POSCAR file:
```
Li2Mg2Ni
1.0
-5.858 2.209 -2.142
-2.377 -0.324 6.166
1.308 4.169 0.723
Ni Mg Li
2 4 4
Cartesian
-4.117 0.943 2.012
0.000 0.000 0.000
-4.019 0.486 4.466
-1.732 0.234 1.785
-4.216 1.399 -0.442
-6.502 1.651 2.240
-5.232 3.288 4.071
-5.018 3.818 0.632
-1.908 2.237 4.116
-1.694 2.767 0.677
```

Output
As for the magnetization: 0.0000 μB per atom.

Result of the stability comparison: x is the most stable of them.

w:
DFT (PBE) results for LiMg6Ni after structural relaxation.

POSCAR file:
```
LiMg6Ni
1.0
-2.415 1.952 5.070
-3.212 -4.769 -1.512
2.826 -2.654 2.368
Mg Ni Li
6 1 1
Cartesian
-2.916 -2.273 0.932
0.019 -2.850 1.140
-1.696 -5.227 0.522
-1.525 0.071 1.899
-3.028 -4.376 3.067
-3.891 -1.114 3.396
-1.319 -2.055 3.629
-2.498 1.247 4.379
```

Output
As for the magnetization: 0.0000 μB per atom.

x:
DFT (PBE) results for LiMg6Ni after structural relaxation.

POSCAR file:
```
LiMg6Ni
1.0
-3.709 1.228 2.477
-2.604 -2.945 -2.440
-1.717 -6.051 4.748
Li Mg Ni
1 6 1
Cartesian
0.000 0.000 0.000
-3.319 -6.439 2.541
-5.582 -4.355 2.440
-4.711 -1.328 2.244
-2.448 -3.413 2.345
-3.872 -4.353 5.000
-4.158 -3.414 -0.214
-3.157 -0.858 0.019
```

Output
As for the magnetization: 0.0000 μB per atom.

Result of the stability comparison: x is the most stable of them.